Entry 1:
Below is a geometry-optimized Y2ZrRh structure, with properties calculated at the PBE level.

a = 3.4739 Å, b = 3.4739 Å, c = 7.9266 Å
α = 90.00°, β = 90.00°, γ = 90.00°
Last column: nearest neighbours and their distance in Å.
Positions (direct):
Y  0.0000  0.0000  0.2098  4 Rh 2.97
Y  0.0000  0.0000  0.7902  4 Rh 2.97
Zr  0.5000  0.5000  0.5000  8 Y 3.37, 4 Zr 3.47
Rh  0.5000  0.5000  0.0000  8 Y 2.97

Calculated values
The energy relative to the lowest polymorph listed for this composition is 6.7 kJ per mole of atoms. As for the space-group type: P4/mmm (123).

***

Entry 2:
Below is a geometry-optimized CaPmRh4 structure, with properties calculated at the PBE level.

a = 5.3770 Å, b = 5.3770 Å, c = 5.3770 Å
α = 60.00°, β = 60.00°, γ = 60.00°
Last column: nearest neighbours and their distance in Å.
Positions (direct):
Ca  0.0000  0.0000  0.0000  12 Rh 3.15, 4 Pm 3.29
Pm  0.2500  0.2500  0.2500  12 Rh 3.15, 4 Ca 3.29
Rh  0.1248  0.6251  0.6251  6 Rh 2.69
Rh  0.6251  0.1248  0.6251  6 Rh 2.69
Rh  0.6251  0.6251  0.1248  6 Rh 2.69
Rh  0.6251  0.6251  0.6251  6 Rh 2.69

Calculated values
As for the space-group type: F-43m (216). The calculation puts the electronic total energy at -39.609 eV per cell.

***

Entry 3:
Below is a geometry-optimized Re2AuSe structure, with properties calculated at the PBE level.

a = 4.3140 Å, b = 4.3140 Å, c = 5.5756 Å
α = 99.43°, β = 99.43°, γ = 39.89°
Last column: nearest neighbours and their distance in Å.
Positions (direct):
Re  0.2492  0.2492  0.2140  3 Se 2.53-2.61, 3 Au 2.78, 2 Re 2.81
Re  0.7508  0.7508  0.7860  3 Se 2.53-2.61, 3 Au 2.78, 2 Re 2.81
Au  0.0000  0.0000  0.5000  6 Re 2.78, 2 Au 2.94
Se  0.5000  0.5000  0.0000  6 Re 2.53-2.61

Calculated values
As for the space-group type: C2/m (12). The calculation puts the electronic total energy at -28.927 eV per cell.

***

Entry 4:
Below is a geometry-optimized Sc3SnN structure, with properties calculated at the PBE level.

a = 7.4372 Å, b = 7.4372 Å, c = 7.4372 Å
α = 54.41°, β = 54.41°, γ = 54.41°
Last column: nearest neighbours and their distance in Å.
Positions (direct):
Sc  0.0393  0.7500  0.4607  1 N 1.97
Sc  0.2500  0.5393  0.9607  1 N 1.97
Sc  0.4607  0.0393  0.7500  1 N 1.97
Sc  0.5393  0.9607  0.2500  1 N 1.97
Sc  0.7500  0.4607  0.0393  1 N 1.97
Sc  0.9607  0.2500  0.5393  1 N 1.97
Sn  0.0000  0.0000  0.0000  6 Sc 2.90
Sn  0.5000  0.5000  0.5000  6 Sc 2.90
N  0.2500  0.2500  0.2500  3 Sc 1.97
N  0.7500  0.7500  0.7500  3 Sc 1.97

Calculated values
As for the space-group type: R-3c (167). The calculation puts the electronic total energy at -67.789 eV per cell.

***

no.,density of states at the Fermi level (states/eV per atom)
1,1.41
2,0.61
3,0.75
4,1.14